(1)
GGA-PBE NaZnSi2Tc, relaxed; energy relative to the lowest polymorph listed for this composition = 0 meV per atom; energy relative to the elements, uncorrected = 46 meV per atom; size of the total moment = 0.0 μB/cell; crystal system = tetragonal
1.0
4.6220 0.0000 0.0000
0.0000 4.6220 0.0000
0.0000 0.0000 4.9884
Na Zn Si Tc
1 1 2 1
Direct
0.0000 0.0000 0.0000
0.5000 0.5000 0.0000
0.0000 0.5000 0.5000
0.5000 0.0000 0.5000
0.5000 0.5000 0.5000

---

(2)
GGA-PBE Pr4Dy5Al, relaxed; energy relative to the lowest polymorph listed for this composition = 0 meV per atom; ΔE_f = -0.6 eV per formula unit; size of the total moment = 0.0 μB/cell; crystal system = tetragonal
1.0
3.6134 0.0000 0.0000
0.0000 3.6134 0.0000
0.0000 0.0000 24.3443
Pr Dy Al
4 5 1
Direct
0.0000 0.0000 0.1054
0.0000 0.0000 0.3174
0.0000 0.0000 0.6826
0.0000 0.0000 0.8946
0.5000 0.5000 0.0000
0.5000 0.5000 0.2112
0.5000 0.5000 0.4250
0.5000 0.5000 0.5750
0.5000 0.5000 0.7888
0.0000 0.0000 0.5000

---

(3)
GGA-PBE Sc2Ni, relaxed; ΔE_f = 1.7 eV per formula unit; size of the total moment = 0.4 μB/cell; crystal system = hexagonal
1.0
5.4478 0.0000 0.0000
-2.7239 4.7179 0.0000
0.0000 0.0000 8.7808
Sc Ni
8 4
Direct
0.0000 0.0000 0.0000
0.0000 0.0000 0.5000
0.1756 0.3513 0.2500
0.1756 0.8244 0.2500
0.3513 0.1756 0.7500
0.6487 0.8244 0.2500
0.8244 0.1756 0.7500
0.8244 0.6487 0.7500
0.3333 0.6667 0.5597
0.3333 0.6667 0.9403
0.6667 0.3333 0.0597
0.6667 0.3333 0.4403

---

(4)
GGA-PBE Ba5Si2Pb, relaxed; energy relative to the elements, uncorrected = -437 meV per atom; size of the total moment = 0.1 μB/cell; crystal system = tetragonal
1.0
-4.3414 4.3414 8.6030
4.3414 -4.3414 8.6030
4.3414 4.3414 -8.6030
Ba Si Pb
10 4 2
Direct
0.0000 0.0000 0.0000
0.0430 0.5430 0.8589
0.1842 0.0430 0.5000
0.3158 0.8158 0.8589
0.4570 0.3158 0.5000
0.5000 0.5000 0.0000
0.5430 0.6842 0.5000
0.6842 0.1842 0.1411
0.8158 0.9570 0.5000
0.9570 0.4570 0.1411
0.1012 0.3988 0.5000
0.3988 0.8988 0.2977
0.6012 0.1012 0.7023
0.8988 0.6012 0.5000
0.2500 0.2500 0.0000
0.7500 0.7500 0.0000

---

(5)
GGA-PBE Sm3ErGe4, relaxed; ΔE_f = -5.5 eV per formula unit; size of the total moment = 0.0 μB/cell; crystal system = orthorhombic
1.0
4.1186 0.0000 0.0000
0.0000 6.3982 0.0000
0.0000 0.0000 15.9641
Sm Er Ge
6 2 8
Direct
0.0000 0.0000 0.0000
0.0000 0.5000 0.1952
0.0000 0.5000 0.8048
0.5000 0.0000 0.3048
0.5000 0.0000 0.6952
0.5000 0.5000 0.5000
0.0000 0.0000 0.5000
0.5000 0.5000 0.0000
0.0000 0.3062 0.3701
0.0000 0.3062 0.6299
0.0000 0.6938 0.3701
0.0000 0.6938 0.6299
0.5000 0.1938 0.1299
0.5000 0.1938 0.8701
0.5000 0.8062 0.1299
0.5000 0.8062 0.8701

---

(6)
GGA-PBE LaOs2Rh, relaxed; energy relative to the lowest polymorph listed for this composition = 227 meV per atom; ΔE_f = 1.6 eV per formula unit; size of the total moment = 0.0 μB/cell; crystal system = orthorhombic
1.0
2.9204 0.0000 0.0000
0.0000 4.9450 0.0000
0.0000 0.0000 10.0487
La Os Rh
2 4 2
Direct
0.0000 0.0000 0.0000
0.5000 0.5000 0.5000
0.0000 0.0000 0.5053
0.0000 0.5000 0.2191
0.5000 0.0000 0.7191
0.5000 0.5000 0.0053
0.0000 0.5000 0.7764
0.5000 0.0000 0.2764

---

(7)
GGA-PBE LiTb2TmTe5, relaxed; energy relative to the elements, uncorrected = -1240 meV per atom; size of the total moment = 0.0 μB/cell; crystal system = orthorhombic
1.0
2.1585 -9.2085 0.0000
2.1585 9.2085 0.0000
0.0000 0.0000 13.1477
Li Tb Tm Te
2 4 2 10
Direct
0.0584 0.9416 0.5000
0.9416 0.0584 0.0000
0.3727 0.6273 0.3357
0.3945 0.6055 0.7214
0.6055 0.3945 0.2214
0.6273 0.3727 0.8357
0.3030 0.6970 0.0461
0.6970 0.3030 0.5461
0.0022 0.9978 0.8202
0.1385 0.8615 0.0354
0.1895 0.8105 0.3816
0.2183 0.7817 0.7053
0.4534 0.5466 0.1111
0.5466 0.4534 0.6111
0.7817 0.2183 0.2053
0.8105 0.1895 0.8816
0.8615 0.1385 0.5354
0.9978 0.0022 0.3202

---

(8)
GGA-PBE LaPm5Er6, relaxed; ΔE_f = 0.2 eV per formula unit; size of the total moment = 0.0 μB/cell; crystal system = orthorhombic
1.0
-2.5568 5.0058 7.6508
2.5568 -5.0058 7.6508
2.5568 5.0058 -7.6508
La Pm Er
1 5 6
Direct
0.0000 0.0000 0.0000
0.1680 0.6680 0.5000
0.3330 0.3330 0.0000
0.5000 0.0000 0.5000
0.6670 0.6670 0.0000
0.8320 0.3320 0.5000
0.0838 0.8329 0.2510
0.2519 0.5000 0.7519
0.4181 0.1671 0.2510
0.5819 0.8329 0.7490
0.7481 0.5000 0.2481
0.9162 0.1671 0.7490